Record 1
## Be2PPt (PBE-GGA)

Data for a relaxed structure of Be2PPt.

Structure (CIF):
```
data_Be2PPt
_symmetry_space_group_name_H-M 'F -4 3 m'
_symmetry_Int_Tables_number 216
_symmetry_space_group_name_Hall 'F -4 2 3'
_cell_length_a 5.7668
_cell_length_b 5.7668
_cell_length_c 5.7668
_cell_angle_alpha 90.00
_cell_angle_beta 90.00
_cell_angle_gamma 90.00
loop_
_atom_site_label
_atom_site_fract_x
_atom_site_fract_y
_atom_site_fract_z
Be1 0.0000 0.0000 0.0000
Be2 0.2500 0.2500 0.2500
P1 0.0000 0.0000 0.5000
Pt1 0.2500 0.2500 0.7500
```

Values from the calculation:
**Formation energy from the elements**: 0.108 eV/atom
**Size of the total moment**: 0.0 μB per cell
**Total energy**: -0.1697 hartree per atom



Record 2
## BePPt (PBE-GGA)

Data for a relaxed structure of BePPt.

Structure (CIF):
```
data_BePPt
_symmetry_space_group_name_H-M 'I 4 m m'
_symmetry_Int_Tables_number 107
_symmetry_space_group_name_Hall 'I 4 -2'
_cell_length_a 2.7349
_cell_length_b 2.7349
_cell_length_c 10.6257
_cell_angle_alpha 90.00
_cell_angle_beta 90.00
_cell_angle_gamma 90.00
loop_
_atom_site_label
_atom_site_fract_x
_atom_site_fract_y
_atom_site_fract_z
Be1 0.0000 0.0000 0.0000
P1 0.0000 0.0000 0.3280
Pt1 0.0000 0.0000 0.6304
```

Values from the calculation:
**Formation energy from the elements**: -0.035 eV/atom
**Size of the total moment**: 0.0 μB per cell
**Relative energy among the computed polymorphs**: 1.071 eV per formula unit
**Total energy**: -0.1872 hartree per atom